[1]
DFT (PBE) results for a geometry-optimized Sb4Cl3O4 structure.

As for the raw formation energy: -0.7833 eV per atom. Its density of states at the Fermi level is 1.83 states/eV/f.u. Its total moment is 0.0 μB per formula unit. As for the total energy: -4.589 eV/atom.

It has space group Immm (No. 71), with a = 3.366 Å, b = 9.728 Å, c = 13.458 Å, α = 90.00°, β = 90.00° and γ = 90.00°. The asymmetric unit holds Sb at (0.000, 0.000, 0.188), Sb at (0.000, 0.246, 0.500), Cl at (0.000, 0.000, 0.000), Cl at (0.000, 0.500, 0.138) and O at (0.000, 0.350, 0.364).

[2]
DFT (PBE) results for a geometry-optimized Ca3PmH8 structure.

Its density of states at the Fermi level is 1.25 states/eV/f.u. Its total moment is 0.0 μB per formula unit. As for the total energy: -3.706 eV/atom.

It has space group Pm-3m (No. 221), with a = 5.398 Å, b = 5.398 Å, c = 5.398 Å, α = 90.00°, β = 90.00° and γ = 90.00°. The asymmetric unit holds Ca at (0.000, 0.000, 0.500), Pm at (0.500, 0.500, 0.500) and H at (0.251, 0.251, 0.251).